Run w
## BeSb2Cl (PBE)

Data for an optimized crystal structure of BeSb2Cl. Values from VASP.

Cell and atoms, written as Quantum ESPRESSO input:
```
&SYSTEM
  ibrav = 0, nat = 4, ntyp = 3
/
ATOMIC_SPECIES
Be 9.01 Be.upf
Cl 35.45 Cl.upf
Sb 121.76 Sb.upf
ATOMIC_POSITIONS angstrom
Be 0.000 0.000 0.000
Cl 1.222 -4.639 3.630
Sb 0.611 -2.319 1.815
Sb 1.833 -6.958 5.445
CELL_PARAMETERS angstrom
3.409 -3.291 1.293
0.374 -1.439 4.681
-1.339 -4.547 1.286
```

Summary:
Crystal system: cubic

=====

Run x
## BeSb2Cl (PBE)

Data for an optimized crystal structure of BeSb2Cl. Values from VASP.

Cell and atoms, written as Quantum ESPRESSO input:
```
&SYSTEM
  ibrav = 0, nat = 4, ntyp = 3
/
ATOMIC_SPECIES
Sb 121.76 Sb.upf
Cl 35.45 Cl.upf
Be 9.01 Be.upf
ATOMIC_POSITIONS angstrom
Sb 0.000 0.000 3.522
Sb 0.000 0.000 0.378
Cl 1.658 1.658 5.850
Be 1.658 1.658 1.950
CELL_PARAMETERS angstrom
3.317 0.000 0.000
0.000 3.316 0.000
0.000 0.000 7.799
```

Summary:
Crystal system: tetragonal

=====

run x takes first place; second place is 0.253 eV/atom up.

=====

Run w
## BeSbCl2 (PBE)

Data for an optimized crystal structure of BeSbCl2. Values from VASP.

Cell and atoms, written as Quantum ESPRESSO input:
```
&SYSTEM
  ibrav = 0, nat = 4, ntyp = 3
/
ATOMIC_SPECIES
Cl 35.45 Cl.upf
Be 9.01 Be.upf
Sb 121.76 Sb.upf
ATOMIC_POSITIONS angstrom
Cl 0.000 0.000 0.000
Cl -3.163 0.673 -0.119
Be -2.866 -2.009 -0.775
Sb -1.237 -1.508 1.975
CELL_PARAMETERS angstrom
-1.534 1.173 2.631
-4.791 0.172 -2.870
-0.941 -4.190 1.319
```

Summary:
Crystal system: orthorhombic

=====

Run x
## BeSbCl2 (PBE)

Data for an optimized crystal structure of BeSbCl2. Values from VASP.

Cell and atoms, written as Quantum ESPRESSO input:
```
&SYSTEM
  ibrav = 0, nat = 4, ntyp = 3
/
ATOMIC_SPECIES
Be 9.01 Be.upf
Cl 35.45 Cl.upf
Sb 121.76 Sb.upf
ATOMIC_POSITIONS angstrom
Be 4.864 2.808 1.986
Cl 0.000 0.000 0.000
Cl 2.432 1.404 0.993
Sb 7.297 4.213 2.979
CELL_PARAMETERS angstrom
4.864 0.000 0.000
2.432 4.213 0.000
2.432 1.404 3.972
```

Summary:
Crystal system: cubic

=====

Run y
## BeSbCl2 (PBE)

Data for an optimized crystal structure of BeSbCl2. Values from VASP.

Cell and atoms, written as Quantum ESPRESSO input:
```
&SYSTEM
  ibrav = 0, nat = 4, ntyp = 3
/
ATOMIC_SPECIES
Sb 121.76 Sb.upf
Be 9.01 Be.upf
Cl 35.45 Cl.upf
ATOMIC_POSITIONS angstrom
Sb -1.499 -1.115 4.731
Be 0.261 0.328 3.280
Cl -3.016 1.035 4.078
Cl -0.468 -0.348 1.478
CELL_PARAMETERS angstrom
-4.887 -0.490 5.880
0.751 -2.586 7.172
1.481 4.513 -6.011
```

Summary:
Crystal system: orthorhombic

=====

run y takes first place; second place is 0.635 eV/atom up.

=====

Run w
## BeSbCl2 (PBE)

Data for an optimized crystal structure of BeSbCl2. Values from VASP.

Cell and atoms, written as Quantum ESPRESSO input:
```
&SYSTEM
  ibrav = 0, nat = 4, ntyp = 3
/
ATOMIC_SPECIES
Cl 35.45 Cl.upf
Be 9.01 Be.upf
Sb 121.76 Sb.upf
ATOMIC_POSITIONS angstrom
Cl 1.733 2.466 0.000
Cl 0.000 0.000 0.000
Be -0.891 2.468 1.641
Sb 2.624 -0.002 1.641
CELL_PARAMETERS angstrom
5.248 -0.004 0.000
-1.782 4.936 0.000
0.000 0.000 3.282
```

Summary:
Crystal system: orthorhombic

=====

Run x
## BeSbCl2 (PBE)

Data for an optimized crystal structure of BeSbCl2. Values from VASP.

Cell and atoms, written as Quantum ESPRESSO input:
```
&SYSTEM
  ibrav = 0, nat = 4, ntyp = 3
/
ATOMIC_SPECIES
Cl 35.45 Cl.upf
Be 9.01 Be.upf
Sb 121.76 Sb.upf
ATOMIC_POSITIONS angstrom
Cl 2.142 2.510 1.378
Cl 0.000 0.000 0.000
Be 3.299 0.008 1.378
Sb 5.441 2.517 0.000
CELL_PARAMETERS angstrom
6.598 0.015 0.000
4.283 5.019 0.000
-5.441 -2.517 2.757
```

Summary:
Crystal system: tetragonal

=====

Run y
## BeSbCl2 (PBE)

Data for an optimized crystal structure of BeSbCl2. Values from VASP.

Cell and atoms, written as Quantum ESPRESSO input:
```
&SYSTEM
  ibrav = 0, nat = 4, ntyp = 3
/
ATOMIC_SPECIES
Cl 35.45 Cl.upf
Sb 121.76 Sb.upf
Be 9.01 Be.upf
ATOMIC_POSITIONS angstrom
Cl 1.525 9.556 3.384
Cl 1.102 6.903 2.445
Sb 0.388 2.045 2.966
Be 1.263 7.531 4.909
CELL_PARAMETERS angstrom
-2.139 -0.385 2.052
2.040 -1.011 1.937
1.751 10.972 3.886
```

Summary:
Crystal system: tetragonal

=====

run y takes first place; second place is 0.522 eV/atom up.

=====

Run w
## BeSbCl2 (PBE)

Data for an optimized crystal structure of BeSbCl2. Values from VASP.

Cell and atoms, written as Quantum ESPRESSO input:
```
&SYSTEM
  ibrav = 0, nat = 4, ntyp = 3
/
ATOMIC_SPECIES
Cl 35.45 Cl.upf
Sb 121.76 Sb.upf
Be 9.01 Be.upf
ATOMIC_POSITIONS angstrom
Cl 3.568 2.519 0.000
Cl 0.000 0.000 0.000
Sb 0.897 2.517 1.538
Be 2.672 0.003 1.538
CELL_PARAMETERS angstrom
5.343 0.006 0.000
1.794 5.033 0.000
-3.568 -2.519 3.077
```

Summary:
Crystal system: tetragonal

=====

Run x
## BeSbCl2 (PBE)

Data for an optimized crystal structure of BeSbCl2. Values from VASP.

Cell and atoms, written as Quantum ESPRESSO input:
```
&SYSTEM
  ibrav = 0, nat = 8, ntyp = 3
/
ATOMIC_SPECIES
Cl 35.45 Cl.upf
Be 9.01 Be.upf
Sb 121.76 Sb.upf
ATOMIC_POSITIONS angstrom
Cl -7.992 0.539 3.162
Cl -10.312 2.896 3.095
Cl -5.734 -0.299 0.946
Cl -3.378 2.023 1.039
Be -4.517 0.868 -0.151
Be -7.288 -0.970 2.034
Sb -6.421 3.549 2.088
Sb 0.000 0.000 0.000
CELL_PARAMETERS angstrom
-3.650 5.388 -0.097
-5.384 -3.652 -0.205
-4.674 0.843 4.423
```

Summary:
Crystal system: tetragonal

=====

Run y
## BeSbCl2 (PBE)

Data for an optimized crystal structure of BeSbCl2. Values from VASP.

Cell and atoms, written as Quantum ESPRESSO input:
```
&SYSTEM
  ibrav = 0, nat = 4, ntyp = 3
/
ATOMIC_SPECIES
Cl 35.45 Cl.upf
Sb 121.76 Sb.upf
Be 9.01 Be.upf
ATOMIC_POSITIONS angstrom
Cl 0.000 0.000 0.000
Cl 0.808 -0.712 3.249
Sb 3.392 1.757 1.349
Be 2.323 -1.018 1.003
CELL_PARAMETERS angstrom
-0.261 -3.486 2.903
4.907 1.451 -0.898
1.877 2.062 3.596
```

Summary:
Crystal system: orthorhombic

=====

Run z
## BeSbCl2 (PBE)

Data for an optimized crystal structure of BeSbCl2. Values from VASP.

Cell and atoms, written as Quantum ESPRESSO input:
```
&SYSTEM
  ibrav = 0, nat = 4, ntyp = 3
/
ATOMIC_SPECIES
Be 9.01 Be.upf
Cl 35.45 Cl.upf
Sb 121.76 Sb.upf
ATOMIC_POSITIONS angstrom
Be 1.631 1.631 6.211
Cl 1.631 1.631 2.576
Cl 0.000 0.000 7.417
Sb 0.000 0.000 4.440
CELL_PARAMETERS angstrom
3.262 0.000 0.000
0.000 3.262 0.000
0.000 0.000 8.258
```

Summary:
Crystal system: tetragonal

=====

run x takes first place; second place is 0.265 eV/atom up.

=====

Run w
## BeSbCl2 (PBE)

Data for an optimized crystal structure of BeSbCl2. Values from VASP.

Cell and atoms, written as Quantum ESPRESSO input:
```
&SYSTEM
  ibrav = 0, nat = 4, ntyp = 3
/
ATOMIC_SPECIES
Cl 35.45 Cl.upf
Be 9.01 Be.upf
Sb 121.76 Sb.upf
ATOMIC_POSITIONS angstrom
Cl -2.343 1.823 0.507
Cl -7.030 5.468 1.522
Be 0.000 0.000 0.000
Sb -4.687 3.646 1.015
CELL_PARAMETERS angstrom
-1.853 3.414 3.017
-2.677 3.702 -1.823
-4.844 0.176 0.835
```

Summary:
Crystal system: cubic

=====

Run x
## BeSbCl2 (PBE)

Data for an optimized crystal structure of BeSbCl2. Values from VASP.

Cell and atoms, written as Quantum ESPRESSO input:
```
&SYSTEM
  ibrav = 0, nat = 4, ntyp = 3
/
ATOMIC_SPECIES
Sb 121.76 Sb.upf
Be 9.01 Be.upf
Cl 35.45 Cl.upf
ATOMIC_POSITIONS angstrom
Sb 0.632 1.366 3.088
Be 0.632 1.366 9.265
Cl 0.000 0.000 10.721
Cl 0.000 0.000 7.808
CELL_PARAMETERS angstrom
3.557 0.012 0.000
-2.294 2.719 0.000
0.000 0.000 12.353
```

Summary:
Crystal system: orthorhombic

=====

run x takes first place; second place is 1.109 eV/atom up.